Computed, not measured: an optimized crystal structure of BaLiGaHg at the PBE-GGA level of DFT.

## Properties
The formation energy comes out at -0.25 eV/atom. The volume is 28.39 A^3/atom. Its total DFT energy (no corrections) is -0.14986 Ry per atom.

```
BaLiGaHg
1.0
0.000 3.844 3.844
3.844 0.000 3.844
3.844 3.844 0.000
Ba Li Ga Hg
1 1 1 1
Direct
0.000 0.000 0.000
0.500 0.500 0.500
0.750 0.750 0.750
0.250 0.250 0.250
```

---

Computed, not measured: an optimized crystal structure of BaMg2GaHg2 at the PBE-GGA level of DFT.

## Properties
The formation energy comes out at -0.31 eV/atom. The volume is 27.47 A^3/atom. Its total DFT energy (no corrections) is -0.12964 Ry per atom.

```
BaMg2GaHg2
1.0
4.790 0.000 0.000
-2.395 4.149 0.000
0.000 0.000 8.295
Ba Mg Ga Hg
1 2 1 2
Direct
0.000 0.000 0.000
0.333 0.667 0.623
0.667 0.333 0.377
0.000 0.000 0.500
0.333 0.667 0.255
0.667 0.333 0.745
```

---

Computed, not measured: an optimized crystal structure of Ba2Mg4GaHg3 at the PBE-GGA level of DFT.

## Properties
The formation energy comes out at -0.32 eV/atom. The volume is 28.46 A^3/atom. Its total DFT energy (no corrections) is -0.12750 Ry per atom.

```
Ba2Mg4GaHg3
1.0
4.874 0.000 0.000
0.000 4.874 0.000
0.000 0.000 11.980
Ba Mg Ga Hg
2 4 1 3
Direct
0.000 0.500 0.239
0.500 0.000 0.761
0.000 0.000 0.500
0.000 0.500 0.881
0.500 0.000 0.119
0.500 0.500 0.500
0.500 0.500 0.000
0.000 0.000 0.000
0.000 0.500 0.639
0.500 0.000 0.361
```

---

Computed, not measured: an optimized crystal structure of BaMgGaHg2 at the PBE-GGA level of DFT.

## Properties
For the energy above the most stable polymorph in this dataset, the calculation gives 927 meV/atom. The formation energy comes out at 0.56 eV/atom. The volume is 51.54 A^3/atom. Its total DFT energy (no corrections) is -0.06419 Ry per atom.

```
BaMgGaHg2
1.0
6.407 0.000 0.000
0.000 6.407 0.000
0.000 0.000 6.277
Ba Mg Ga Hg
1 1 1 2
Direct
0.000 0.000 0.000
0.500 0.500 0.500
0.000 0.000 0.500
0.000 0.500 0.000
0.500 0.000 0.000
```

---

Computed, not measured: an optimized crystal structure of Ba2MgGa3Hg4 at the PBE-GGA level of DFT.

## Properties
The formation energy comes out at -0.37 eV/atom. The volume is 26.81 A^3/atom. Its total DFT energy (no corrections) is -0.14261 Ry per atom.

```
Ba2MgGa3Hg4
1.0
4.784 0.000 0.000
0.000 4.784 0.000
0.000 0.000 11.716
Ba Mg Ga Hg
2 1 3 4
Direct
0.000 0.500 0.242
0.500 0.000 0.758
0.000 0.000 0.500
0.000 0.500 0.868
0.500 0.000 0.132
0.500 0.500 0.500
0.000 0.000 0.000
0.000 0.500 0.632
0.500 0.000 0.368
0.500 0.500 0.000
```

---

Computed, not measured: an optimized crystal structure of Ba2MgGa4Hg3 at the PBE-GGA level of DFT.

## Properties
The formation energy comes out at -0.36 eV/atom. The volume is 26.21 A^3/atom. Its total DFT energy (no corrections) is -0.16209 Ry per atom.

```
Ba2MgGa4Hg3
1.0
4.759 0.000 0.000
0.000 4.759 0.000
0.000 0.000 11.571
Ba Mg Ga Hg
2 1 4 3
Direct
0.000 0.500 0.246
0.500 0.000 0.754
0.000 0.000 0.500
0.000 0.000 0.000
0.000 0.500 0.633
0.500 0.000 0.367
0.500 0.500 0.000
0.000 0.500 0.870
0.500 0.000 0.130
0.500 0.500 0.500
```

---

Computed, not measured: an optimized crystal structure of BaMgGaHg2 at the PBE-GGA level of DFT.

## Properties
For the energy above the most stable polymorph in this dataset, the calculation gives 0 meV/atom. The formation energy comes out at -0.37 eV/atom. The volume is 27.60 A^3/atom. Its total DFT energy (no corrections) is -0.13235 Ry per atom.

```
BaMgGaHg2
1.0
-2.343 2.343 6.283
2.343 -2.343 6.283
2.343 2.343 -6.283
Ba Mg Ga Hg
1 1 1 2
Direct
0.000 0.000 0.000
0.250 0.750 0.500
0.750 0.250 0.500
0.379 0.379 0.000
0.621 0.621 0.000
```

---

Computed, not measured: an optimized crystal structure of BaMnGa2Hg at the PBE-GGA level of DFT.

## Properties
The formation energy comes out at -0.20 eV/atom. The volume is 23.47 A^3/atom. Its total DFT energy (no corrections) is -0.27128 Ry per atom.

```
BaMnGa2Hg
1.0
4.761 0.000 0.000
0.000 4.761 0.000
0.000 0.000 5.177
Ba Mn Ga Hg
1 1 2 1
Direct
0.000 0.000 0.000
0.500 0.500 0.500
0.000 0.500 0.500
0.500 0.000 0.500
0.500 0.500 0.000
```